Entry 1:
ZrBeAs2: optimized geometry, PBE.

```
ZrBeAs2
1.0
-1.680 2.822 3.805
-2.884 -2.703 3.104
4.582 -0.755 -1.923
Be As Zr
1 2 1
Direct
0.250 0.750 0.500
0.000 0.000 0.000
0.500 0.500 0.000
0.750 0.250 0.500
```

Summary:
The value obtained for the uncorrected energy is -22.09 eV/cell. The value obtained for the calculated volume is 16.80 A^3/atom. The energy relative to the elements is -0.129 eV per atom.

=====

Entry 2:
Ta2CoTeP: optimized geometry, PBE.

```
Ta2CoTeP
1.0
-1.320 0.860 -4.287
2.853 -3.870 -1.655
-3.543 -2.835 0.522
P Te Co Ta
1 1 1 2
Direct
0.000 0.000 0.000
0.000 0.500 0.000
0.500 0.500 0.500
0.000 0.000 0.500
0.500 0.000 0.000
```

Summary:
The calculation puts the formation energy without anion corrections at 1163 meV/atom. The value obtained for the uncorrected energy is -33.55 eV/cell. The value obtained for the calculated volume is 21.22 A^3/atom.

=====

Entry 3:
Tb6Pm5Dy: optimized geometry, PBE.

```
Tb6Pm5Dy
1.0
4.881 0.019 -1.424
-1.391 8.926 -4.649
0.118 -0.829 9.475
Dy Tb Pm
1 6 5
Direct
0.000 0.000 0.000
0.834 0.584 0.667
0.834 0.083 0.667
0.500 0.751 0.000
0.500 0.249 0.000
0.166 0.917 0.333
0.166 0.416 0.333
0.666 0.166 0.332
0.333 0.333 0.667
0.000 0.500 0.000
0.667 0.667 0.333
0.334 0.834 0.668
```

Summary:
The value obtained for the uncorrected energy is -55.94 eV/cell. The value obtained for the calculated volume is 32.85 A^3/atom. The energy relative to the elements is 0.016 eV per atom.

=====

no.,calculated density (g/cm3)
1,6.18
2,9.07
3,7.76